1.
# GdScNb4

A relaxed GdScNb4 crystal (GGA-PBE, Alexandria via LeMat-Bulk).

## Properties
Its formation energy is 0.175 eV/atom. Its density of states at the Fermi level is 1.799 states/eV/atom. The calculation puts the size of the total moment at 8.370 μB/f.u.

The structure in CIF format:
```
data_GdScNb4
_space_group_name_H-M_alt 'F -4 3 m'
_space_group_IT_number 216
_space_group_name_Hall 'F -4 2 3'
_cell_length_a 8.023
_cell_length_b 8.023
_cell_length_c 8.023
_cell_angle_alpha 90.00
_cell_angle_beta 90.00
_cell_angle_gamma 90.00
loop_
_atom_site_label
_atom_site_type_symbol
_atom_site_fract_x
_atom_site_fract_y
_atom_site_fract_z
Gd1 Gd 0.000 0.000 0.000
Sc1 Sc 0.250 0.250 0.750
Nb1 Nb 0.125 0.125 0.375
```



2.
# GdSc2Nb

A relaxed GdSc2Nb crystal (GGA-PBE, Alexandria via LeMat-Bulk).

## Properties
Its formation energy is 0.231 eV/atom. Its density of states at the Fermi level is 1.768 states/eV/atom. The calculation puts the size of the total moment at 6.513 μB/f.u.

The structure in CIF format:
```
data_GdSc2Nb
_space_group_name_H-M_alt 'F m -3 m'
_space_group_IT_number 225
_space_group_name_Hall '-F 4 2 3'
_cell_length_a 7.199
_cell_length_b 7.199
_cell_length_c 7.199
_cell_angle_alpha 90.00
_cell_angle_beta 90.00
_cell_angle_gamma 90.00
loop_
_atom_site_label
_atom_site_type_symbol
_atom_site_fract_x
_atom_site_fract_y
_atom_site_fract_z
Gd1 Gd 0.000 0.000 0.000
Sc1 Sc 0.250 0.250 0.250
Nb1 Nb 0.000 0.000 0.500
```



3.
# Gd2ScNb

A relaxed Gd2ScNb crystal (GGA-PBE, Alexandria via LeMat-Bulk).

## Properties
Its formation energy is 0.505 eV/atom. Its density of states at the Fermi level is 1.406 states/eV/atom. The calculation puts the size of the total moment at 14.229 μB/f.u.

The structure in CIF format:
```
data_Gd2ScNb
_space_group_name_H-M_alt 'R -3 m'
_space_group_IT_number 166
_space_group_name_Hall '-R 3 2"'
_cell_length_a 3.2385
_cell_length_b 3.2385
_cell_length_c 33.9376
_cell_angle_alpha 90.00
_cell_angle_beta 90.00
_cell_angle_gamma 120.00
loop_
_atom_site_label
_atom_site_type_symbol
_atom_site_fract_x
_atom_site_fract_y
_atom_site_fract_z
Gd1 Gd 0.0000 0.0000 0.0852
Sc1 Sc 0.0000 0.0000 0.5000
Nb1 Nb 0.0000 0.0000 0.0000
```



4.
# GdSc2Nb

A relaxed GdSc2Nb crystal (GGA-PBE, Alexandria via LeMat-Bulk).

## Properties
Its formation energy is 0.147 eV/atom. Its density of states at the Fermi level is 1.129 states/eV/atom. The calculation puts the size of the total moment at 7.160 μB/f.u.

The structure in CIF format:
```
data_GdSc2Nb
_space_group_name_H-M_alt 'P 4/m m m'
_space_group_IT_number 123
_space_group_name_Hall '-P 4 2'
_cell_length_a 3.698
_cell_length_b 3.698
_cell_length_c 7.016
_cell_angle_alpha 90.00
_cell_angle_beta 90.00
_cell_angle_gamma 90.00
loop_
_atom_site_label
_atom_site_type_symbol
_atom_site_fract_x
_atom_site_fract_y
_atom_site_fract_z
Gd1 Gd 0.000 0.000 0.000
Sc1 Sc 0.500 0.500 0.293
Nb1 Nb 0.000 0.000 0.500
```